DFT (PBE) results for a geometry-optimized Th2TcGe3 structure.

Unit cell a=5.995 b=5.995 c=8.481 alpha=109.59 beta=109.59 gamma=92.95
Fractional positions:
Th (0.250, 0.750, 0.500)
Th (0.263, 0.263, 0.000)
Th (0.737, 0.737, 0.000)
Th (0.750, 0.250, 0.500)
Ge (0.162, 0.668, 0.830)
Ge (0.171, 0.171, 0.342)
Ge (0.332, 0.838, 0.170)
Ge (0.829, 0.829, 0.658)
Ge (0.668, 0.162, 0.830)
Ge (0.838, 0.332, 0.170)
Tc (0.338, 0.338, 0.675)
Tc (0.662, 0.662, 0.325)

Computed properties:
DFT formation energy, eV/atom: -0.571
Calculated density, kg/m3: 9742
DOS(E_F), states/eV per cell: 6.5
Symmetry: No. 69
Total energy, eV per cell: -84.965
Energy relative to the lowest polymorph listed for this composition, kJ per mole of atoms: 0.00


DFT (PBE) results for a geometry-optimized Th4Tc2Ge structure.

Unit cell a=7.717 b=7.732 c=7.927 alpha=108.99 beta=108.82 gamma=110.96
Fractional positions:
Tc (0.629, 0.285, 0.154)
Tc (0.065, 0.488, 0.845)
Tc (0.738, 0.817, 0.345)
Tc (0.535, 0.378, 0.655)
Ge (0.253, 0.758, 0.511)
Ge (0.010, 0.004, 0.011)
Th (0.474, 0.724, 0.877)
Th (0.752, 0.105, 0.739)
Th (0.354, 0.503, 0.237)
Th (0.415, 0.038, 0.270)
Th (0.286, 0.163, 0.769)
Th (0.975, 0.224, 0.378)
Th (0.888, 0.628, 0.106)
Th (0.875, 0.636, 0.605)

Computed properties:
DFT formation energy, eV/atom: -0.228
Calculated density, kg/m3: 10967
DOS(E_F), states/eV per cell: 9.4
Symmetry: No. 1
Total energy, eV per cell: -113.245


DFT (PBE) results for a geometry-optimized Th2TcGe3 structure.

Unit cell a=4.483 b=5.824 c=6.466 alpha=116.76 beta=110.28 gamma=90.00
Last column: magnetic moment on the atom in μB.
Fractional positions:
Ge (0.000, 0.000, 0.000)  0.01
Ge (0.376, 0.376, 0.752)  0.00
Ge (0.624, 0.624, 0.248)  0.00
Th (0.313, 0.813, 0.626)  0.01
Th (0.687, 0.187, 0.374)  0.01
Tc (0.000, 0.500, 0.000)  0.20

Computed properties:
DFT formation energy, eV/atom: -0.281
Calculated density, kg/m3: 9325
DOS(E_F), states/eV per cell: 7.0
Symmetry: No. 71
Total energy, eV per cell: -40.746
Energy relative to the lowest polymorph listed for this composition, kJ per mole of atoms: 27.92


DFT (PBE) results for a geometry-optimized Th6TcGe2 structure.

Unit cell a=4.009 b=8.362 c=8.363 alpha=120.00 beta=90.00 gamma=90.00
Fractional positions:
Th (0.500, 0.586, 0.000)
Th (0.500, 0.000, 0.586)
Th (0.000, 0.251, 0.000)
Th (0.500, 0.414, 0.414)
Th (0.000, 0.000, 0.251)
Th (0.000, 0.749, 0.749)
Ge (0.000, 0.333, 0.667)
Ge (0.000, 0.667, 0.333)
Tc (0.500, 0.000, 0.000)

Computed properties:
DFT formation energy, eV/atom: -0.434
Calculated density, kg/m3: 11186
DOS(E_F), states/eV per cell: 8.1
Symmetry: No. 189
Total energy, eV per cell: -68.027


DFT (PBE) results for a geometry-optimized Th12Tc3Ge5 structure.

Unit cell a=14.858 b=14.858 c=14.858 alpha=109.47 beta=109.47 gamma=109.47
Fractional positions:
Ge (0.125, 0.750, 0.375)
Ge (0.750, 0.625, 0.375)
Ge (0.875, 0.625, 0.750)
Ge (0.625, 0.750, 0.875)
Ge (0.500, 0.500, 0.000)
Ge (0.375, 0.250, 0.125)
Ge (0.000, 0.000, 0.000)
Ge (0.000, 0.500, 0.500)
Ge (0.000, 0.500, 0.000)
Ge (0.625, 0.875, 0.250)
Ge (0.500, 0.000, 0.500)
Ge (0.875, 0.250, 0.625)
Ge (0.375, 0.125, 0.750)
Ge (0.500, 0.500, 0.500)
Ge (0.125, 0.375, 0.250)
Ge (0.000, 0.000, 0.500)
Ge (0.750, 0.125, 0.875)
Ge (0.250, 0.375, 0.625)
Ge (0.250, 0.875, 0.125)
Ge (0.500, 0.000, 0.000)
Th (0.829, 0.895, 0.269)
Th (0.895, 0.829, 0.769)
Th (0.231, 0.560, 0.626)
Th (0.434, 0.374, 0.605)
Th (0.395, 0.126, 0.566)
Th (0.626, 0.060, 0.231)
Th (0.605, 0.874, 0.434)
Th (0.671, 0.231, 0.605)
Th (0.066, 0.895, 0.126)
Th (0.060, 0.626, 0.731)
Th (0.566, 0.940, 0.671)
Th (0.395, 0.269, 0.329)
Th (0.060, 0.434, 0.829)
Th (0.769, 0.329, 0.895)
Th (0.374, 0.434, 0.105)
Th (0.329, 0.560, 0.434)
Th (0.440, 0.769, 0.874)
Th (0.934, 0.829, 0.560)
Th (0.269, 0.874, 0.940)
Th (0.171, 0.066, 0.940)
Th (0.269, 0.395, 0.829)
Th (0.105, 0.171, 0.231)
Th (0.126, 0.731, 0.560)
Th (0.171, 0.105, 0.731)
Th (0.374, 0.940, 0.769)
Th (0.329, 0.769, 0.395)
Th (0.829, 0.934, 0.060)
Th (0.731, 0.605, 0.171)
Th (0.940, 0.374, 0.269)
Th (0.626, 0.566, 0.895)
Th (0.560, 0.329, 0.934)
Th (0.895, 0.066, 0.626)
Th (0.126, 0.395, 0.066)
Th (0.874, 0.605, 0.934)
Th (0.769, 0.440, 0.374)
Th (0.566, 0.626, 0.395)
Th (0.066, 0.171, 0.440)
Th (0.934, 0.105, 0.874)
Th (0.434, 0.060, 0.329)
Th (0.440, 0.671, 0.066)
Th (0.231, 0.671, 0.105)
Th (0.671, 0.440, 0.566)
Th (0.874, 0.269, 0.440)
Th (0.105, 0.934, 0.374)
Th (0.940, 0.566, 0.171)
Th (0.731, 0.126, 0.060)
Th (0.560, 0.231, 0.126)
Th (0.605, 0.731, 0.671)
Tc (0.250, 0.625, 0.875)
Tc (0.375, 0.750, 0.625)
Tc (0.125, 0.875, 0.750)
Tc (0.875, 0.125, 0.250)
Tc (0.250, 0.125, 0.375)
Tc (0.125, 0.250, 0.875)
Tc (0.625, 0.375, 0.750)
Tc (0.375, 0.625, 0.250)
Tc (0.750, 0.875, 0.625)
Tc (0.625, 0.250, 0.375)
Tc (0.750, 0.375, 0.125)
Tc (0.875, 0.750, 0.125)

Computed properties:
DFT formation energy, eV/atom: 0.145
Calculated density, kg/m3: 9054
DOS(E_F), states/eV per cell: 91.3
Symmetry: No. 230
Total energy, eV per cell: -561.253


DFT (PBE) results for a geometry-optimized Th3TcGe3 structure.

Unit cell a=5.926 b=8.636 c=8.636 alpha=120.00 beta=90.00 gamma=90.00
Fractional positions:
Th (0.750, 0.910, 0.316)
Th (0.250, 0.595, 0.910)
Th (0.250, 0.316, 0.405)
Th (0.250, 0.090, 0.684)
Th (0.750, 0.405, 0.090)
Th (0.750, 0.684, 0.595)
Ge (0.750, 0.079, 0.724)
Ge (0.250, 0.921, 0.276)
Ge (0.750, 0.276, 0.355)
Ge (0.250, 0.724, 0.645)
Ge (0.250, 0.355, 0.079)
Ge (0.750, 0.645, 0.921)
Tc (0.750, 0.333, 0.667)
Tc (0.250, 0.667, 0.333)

Computed properties:
DFT formation energy, eV/atom: -0.339
Calculated density, kg/m3: 8783
DOS(E_F), states/eV per cell: 12.2
Symmetry: No. 176
Total energy, eV per cell: -97.701
Energy relative to the lowest polymorph listed for this composition, kJ per mole of atoms: 28.57


What is the formula in the sixth record?
Th3TcGe3